Entry 1:
VASP calculation (PBE) on a relaxed structure of TbN.

Cell: 3.483 3.483 3.483 Å, 60.00 60.00 60.00°
Positions (direct):
N1 0.000 0.000 0.000
Tb1 0.500 0.500 0.500

## Properties
calculated total energy: -8.140 eV/atom

Entry 2:
VASP calculation (PBE) on a relaxed structure of TbN.

Cell: 6.384 3.520 6.146 Å, 90.00 90.00 90.00°
Positions (direct):
N1 0.750 0.500 0.205
N2 0.250 0.000 0.370
N3 0.750 0.000 0.630
N4 0.250 0.500 0.795
Tb1 0.250 0.000 0.006
Tb2 0.000 0.500 0.500
Tb3 0.500 0.500 0.500
Tb4 0.750 0.000 0.994

## Properties
calculated total energy: -7.498 eV/atom

Entry 3:
VASP calculation (PBE) on a relaxed structure of TbN.

Cell: 3.736 3.736 3.736 Å, 60.00 60.00 60.00°
Positions (direct):
N1 0.000 0.000 0.000
Tb1 0.250 0.250 0.250

## Properties
calculated total energy: -7.921 eV/atom

Entry 4:
VASP calculation (PBE) on a relaxed structure of Tb3Tc5N12.

Cell: 10.931 10.931 10.931 Å, 109.47 109.47 109.47°
Site moments in Bohr magnetons follow the coordinates.
Positions (direct):
N1 0.201 0.117 0.019  0.00
N2 0.318 0.902 0.019  0.00
N3 0.883 0.402 0.084  0.00
N4 0.701 0.682 0.084  0.00
N5 0.617 0.416 0.098  0.00
N6 0.981 0.682 0.098  0.00
N7 0.019 0.201 0.117  0.00
N8 0.598 0.916 0.117  0.00
N9 0.201 0.584 0.182  0.00
N10 0.481 0.598 0.182  0.00
N11 0.117 0.019 0.201  0.00
N12 0.584 0.182 0.201  0.00
N13 0.481 0.383 0.299  0.00
N14 0.318 0.916 0.299  0.00
N15 0.902 0.019 0.318  0.00
N16 0.916 0.299 0.318  0.00
N17 0.299 0.481 0.383  0.00
N18 0.584 0.902 0.383  0.00
N19 0.818 0.519 0.402  0.00
N20 0.084 0.883 0.402  0.00
N21 0.098 0.617 0.416  0.00
N22 0.818 0.799 0.416  0.00
N23 0.598 0.182 0.481  0.00
N24 0.383 0.299 0.481  0.00
N25 0.617 0.701 0.519  0.00
N26 0.402 0.818 0.519  0.00
N27 0.182 0.201 0.584  0.00
N28 0.902 0.383 0.584  0.00
N29 0.916 0.117 0.598  0.00
N30 0.182 0.481 0.598  0.00
N31 0.416 0.098 0.617  0.00
N32 0.701 0.519 0.617  0.00
N33 0.084 0.701 0.682  0.00
N34 0.098 0.981 0.682  0.00
N35 0.682 0.084 0.701  0.00
N36 0.519 0.617 0.701  0.00
N37 0.416 0.818 0.799  0.00
N38 0.883 0.981 0.799  0.00
N39 0.519 0.402 0.818  0.00
N40 0.799 0.416 0.818  0.00
N41 0.402 0.084 0.883  0.00
N42 0.981 0.799 0.883  0.00
N43 0.019 0.318 0.902  0.00
N44 0.383 0.584 0.902  0.00
N45 0.299 0.318 0.916  0.00
N46 0.117 0.598 0.916  0.00
N47 0.682 0.098 0.981  0.00
N48 0.799 0.883 0.981  0.00
Tb1 0.250 0.375 0.125  0.00
Tb2 0.375 0.750 0.125  0.00
Tb3 0.375 0.125 0.250  0.01
Tb4 0.875 0.625 0.250  0.00
Tb5 0.750 0.125 0.375  0.00
Tb6 0.125 0.250 0.375  0.00
Tb7 0.875 0.750 0.625  0.00
Tb8 0.250 0.875 0.625  0.00
Tb9 0.125 0.375 0.750  0.00
Tb10 0.625 0.875 0.750  0.01
Tb11 0.625 0.250 0.875  0.00
Tb12 0.750 0.625 0.875  0.00
Tc1 0.000 0.000 0.000  0.09
Tc2 0.500 0.000 0.000  0.12
Tc3 0.000 0.500 0.000  0.10
Tc4 0.500 0.500 0.000  0.10
Tc5 0.875 0.250 0.125  0.01
Tc6 0.750 0.875 0.125  0.00
Tc7 0.625 0.375 0.250  0.01
Tc8 0.125 0.875 0.250  0.00
Tc9 0.250 0.625 0.375  0.00
Tc10 0.625 0.750 0.375  0.01
Tc11 0.000 0.000 0.500  0.12
Tc12 0.500 0.000 0.500  0.10
Tc13 0.000 0.500 0.500  0.12
Tc14 0.500 0.500 0.500  0.12
Tc15 0.375 0.250 0.625  0.01
Tc16 0.750 0.375 0.625  0.00
Tc17 0.875 0.125 0.750  0.00
Tc18 0.375 0.625 0.750  0.01
Tc19 0.250 0.125 0.875  0.00
Tc20 0.125 0.750 0.875  0.01

## Properties
calculated total energy: -8.727 eV/atom

Entry 5:
VASP calculation (PBE) on a relaxed structure of Tb3Te3N.

Cell: 8.146 12.039 8.678 Å, 90.00 109.21 90.00°
Positions (direct):
N1 0.173 0.034 0.124
N2 0.827 0.534 0.376
N3 0.173 0.466 0.624
N4 0.827 0.966 0.876
Tb1 0.898 0.021 0.139
Tb2 0.268 0.208 0.159
Tb3 0.659 0.411 0.204
Tb4 0.341 0.911 0.296
Tb5 0.732 0.708 0.341
Tb6 0.102 0.521 0.361
Tb7 0.898 0.479 0.639
Tb8 0.268 0.292 0.659
Tb9 0.659 0.089 0.704
Tb10 0.341 0.589 0.796
Tb11 0.732 0.792 0.841
Tb12 0.102 0.979 0.861
Te1 0.453 0.811 0.014
Te2 0.275 0.478 0.083
Te3 0.008 0.765 0.184
Te4 0.992 0.265 0.316
Te5 0.725 0.978 0.417
Te6 0.547 0.311 0.486
Te7 0.453 0.689 0.514
Te8 0.275 0.022 0.583
Te9 0.008 0.735 0.684
Te10 0.992 0.235 0.816
Te11 0.725 0.522 0.917
Te12 0.547 0.189 0.986

## Properties
calculated total energy: -6.030 eV/atom

Entry 6:
VASP calculation (PBE) on a relaxed structure of Tb4Te3N2.

Cell: 7.333 11.667 11.020 Å, 90.00 90.00 90.00°
Positions (direct):
N1 0.250 0.500 0.225
N2 0.342 0.250 0.250
N3 0.158 0.750 0.250
N4 0.250 0.000 0.275
N5 0.750 0.000 0.725
N6 0.842 0.250 0.750
N7 0.658 0.750 0.750
N8 0.750 0.500 0.775
Tb1 0.164 0.347 0.116
Tb2 0.336 0.653 0.116
Tb3 0.474 0.091 0.176
Tb4 0.026 0.909 0.176
Tb5 0.474 0.409 0.324
Tb6 0.026 0.591 0.324
Tb7 0.164 0.153 0.384
Tb8 0.336 0.847 0.384
Tb9 0.664 0.153 0.616
Tb10 0.836 0.847 0.616
Tb11 0.974 0.409 0.676
Tb12 0.526 0.591 0.676
Tb13 0.974 0.091 0.824
Tb14 0.526 0.909 0.824
Tb15 0.664 0.347 0.884
Tb16 0.836 0.653 0.884
Te1 0.867 0.163 0.083
Te2 0.633 0.837 0.083
Te3 0.750 0.500 0.111
Te4 0.750 0.000 0.389
Te5 0.867 0.337 0.417
Te6 0.633 0.663 0.417
Te7 0.367 0.337 0.583
Te8 0.133 0.663 0.583
Te9 0.250 0.000 0.611
Te10 0.250 0.500 0.889
Te11 0.367 0.163 0.917
Te12 0.133 0.837 0.917

## Properties
calculated total energy: -6.513 eV/atom

Entry 7:
VASP calculation (PBE) on a relaxed structure of Tb3ThN4.

Cell: 6.106 6.106 3.538 Å, 90.00 90.00 109.36°
Positions (direct):
N1 0.251 0.251 0.000
N2 0.749 0.749 0.000
N3 0.751 0.249 0.500
N4 0.249 0.751 0.500
Tb1 0.500 0.000 0.000
Tb2 0.000 0.500 0.000
Tb3 0.500 0.500 0.500
Th1 0.000 0.000 0.500

## Properties
calculated total energy: -8.477 eV/atom

Entry 8:
VASP calculation (PBE) on a relaxed structure of Tb2Tl3N.

Cell: 5.956 5.956 5.611 Å, 90.00 90.00 120.11°
Site moments in Bohr magnetons follow the coordinates.
Positions (direct):
N1 0.000 0.000 0.000  -0.82
Tb1 0.666 0.334 0.000  0.28
Tb2 0.334 0.666 0.000  0.28
Tl1 0.500 0.000 0.500  0.04
Tl2 0.000 0.500 0.500  0.02
Tl3 0.500 0.500 0.500  0.03

## Properties
calculated total energy: -3.349 eV/atom

Entry 9:
VASP calculation (PBE) on a relaxed structure of TbTm2N3.

Cell: 3.424 3.424 8.382 Å, 90.00 90.00 120.00°
Positions (direct):
N1 0.000 0.000 0.000
N2 0.333 0.667 0.328
N3 0.667 0.333 0.672
Tb1 0.000 0.000 0.500
Tm1 0.667 0.333 0.164
Tm2 0.333 0.667 0.836

## Properties
calculated total energy: -8.193 eV/atom

Entry 10:
VASP calculation (PBE) on a relaxed structure of TbTmN4.

Cell: 3.912 3.912 7.204 Å, 97.36 97.36 56.49°
Positions (direct):
N1 0.361 0.361 0.146
N2 0.046 0.046 0.441
N3 0.946 0.946 0.555
N4 0.644 0.644 0.863
Tb1 0.314 0.314 0.822
Tm1 0.689 0.689 0.172

## Properties
calculated total energy: -7.892 eV/atom

Entry 11:
VASP calculation (PBE) on a relaxed structure of Tb2TmN3.

Cell: 3.453 3.453 8.452 Å, 90.00 90.00 120.00°
Positions (direct):
N1 0.000 0.000 0.000
N2 0.333 0.667 0.338
N3 0.667 0.333 0.662
Tb1 0.667 0.333 0.169
Tb2 0.333 0.667 0.831
Tm1 0.000 0.000 0.500

## Properties
calculated total energy: -8.163 eV/atom

Entry 12:
VASP calculation (PBE) on a relaxed structure of Tb3UN4.

Cell: 5.981 5.981 3.464 Å, 90.00 90.00 109.02°
Site moments in Bohr magnetons follow the coordinates.
Positions (direct):
N1 0.765 0.235 0.000  -0.02
N2 0.235 0.765 0.000  -0.02
N3 0.237 0.237 0.500  -0.04
N4 0.763 0.763 0.500  -0.04
Tb1 0.500 0.500 0.000  0.06
Tb2 0.500 0.000 0.500  0.01
Tb3 0.000 0.500 0.500  0.02
U1 0.000 0.000 0.000  0.98

## Properties
calculated total energy: -8.908 eV/atom

Entry 13:
VASP calculation (PBE) on a relaxed structure of TbY2N3.

Cell: 3.469 3.469 8.503 Å, 90.00 90.00 120.00°
Positions (direct):
N1 0.000 0.000 0.000
N2 0.333 0.667 0.333
N3 0.667 0.333 0.667
Tb1 0.000 0.000 0.500
Y1 0.667 0.333 0.166
Y2 0.333 0.667 0.834

## Properties
calculated total energy: -8.772 eV/atom

Entry 14:
VASP calculation (PBE) on a relaxed structure of TbZr2N3.

Cell: 3.311 3.311 8.165 Å, 90.00 90.00 120.00°
Positions (direct):
N1 0.000 0.000 0.000
N2 0.333 0.667 0.318
N3 0.667 0.333 0.682
Tb1 0.000 0.000 0.500
Zr1 0.667 0.333 0.161
Zr2 0.333 0.667 0.839

## Properties
calculated total energy: -9.481 eV/atom

Entry 15:
VASP calculation (PBE) on a relaxed structure of Tc2N.

Cell: 3.714 3.714 3.714 Å, 60.00 60.00 60.00°
Positions (direct):
N1 0.000 0.000 0.000
Tc1 0.250 0.250 0.250
Tc2 0.750 0.750 0.750

## Properties
offset from the most stable computed form: 0.000 eV per atom

Entry 16:
VASP calculation (PBE) on a relaxed structure of Tc2N.

Cell: 6.209 6.209 6.209 Å, 60.00 60.00 60.00°
Site moments in Bohr magnetons follow the coordinates.
Positions (direct):
N1 0.250 0.250 0.250  -0.07
N2 0.500 0.500 0.500  -0.07
Tc1 0.875 0.375 0.375  1.40
Tc2 0.375 0.875 0.375  1.43
Tc3 0.375 0.375 0.375  1.44
Tc4 0.375 0.375 0.875  1.43

## Properties
offset from the most stable computed form: 0.792 eV per atom

Entry 17:
VASP calculation (PBE) on a relaxed structure of TlTcN3.

Cell: 5.352 5.476 5.829 Å, 106.02 96.18 95.71°
Positions (direct):
N1 0.766 0.568 0.129
N2 0.129 0.033 0.330
N3 0.239 0.553 0.446
N4 0.761 0.447 0.554
N5 0.871 0.967 0.670
N6 0.234 0.432 0.871
Tc1 0.986 0.735 0.388
Tc2 0.014 0.265 0.612
Tl1 0.443 0.252 0.168
Tl2 0.557 0.748 0.832

## Properties
calculated total energy: -6.883 eV/atom

Entry 18:
VASP calculation (PBE) on a relaxed structure of Tl2Tc2N7.

Cell: 5.869 5.869 5.312 Å, 96.81 96.81 108.55°
Positions (direct):
N1 0.401 0.078 0.223
N2 0.078 0.401 0.223
N3 0.569 0.569 0.291
N4 0.000 0.000 0.500
N5 0.431 0.431 0.709
N6 0.922 0.599 0.777
N7 0.599 0.922 0.777
Tc1 0.241 0.241 0.404
Tc2 0.759 0.759 0.596
Tl1 0.692 0.308 0.000
Tl2 0.308 0.692 0.000

## Properties
calculated total energy: -6.771 eV/atom

Entry 19:
VASP calculation (PBE) on a relaxed structure of TcW3N.

Cell: 4.112 4.112 4.112 Å, 90.00 90.00 90.00°
Positions (direct):
N1 0.500 0.500 0.500
Tc1 0.000 0.000 0.000
W1 0.500 0.500 0.000
W2 0.500 0.000 0.500
W3 0.000 0.500 0.500

## Properties
calculated total energy: -11.456 eV/atom

Entry 20:
VASP calculation (PBE) on a relaxed structure of ZnTcN.

Cell: 2.779 2.787 5.607 Å, 76.64 76.52 60.98°
Positions (direct):
N1 0.572 0.160 0.405
Tc1 0.983 0.573 0.178
Zn1 0.446 0.031 0.769

## Properties
calculated total energy: -6.709 eV/atom

| no. | magnetization (Bohr magnetons per cell) |
| --- | --- |
| 1 | 0.00 |
| 2 | 0.19 |
| 3 | 0.00 |
| 4 | 1.17 |
| 5 | 0.00 |
| 6 | 0.00 |
| 7 | 0.01 |
| 8 | 0.22 |
| 9 | 0.00 |
| 10 | 0.00 |
| 11 | 0.00 |
| 12 | 1.07 |
| 13 | 0.00 |
| 14 | 0.00 |
| 15 | 0.03 |
| 16 | 6.25 |
| 17 | 0.00 |
| 18 | 0.02 |
| 19 | 0.00 |
| 20 | 0.06 |